Record 1
DFT (GGA-PBE) results for a geometry-optimized Sm6CdHg structure.

Summary:
The formation energy comes out at -0.187 eV per atom. The calculation puts the total energy at -0.2850 Ry/atom. As for the total magnetization: 0.00 μB/f.u. Its calculated volume is 490.8 Å³ per cell.

CIF file:
```
data_Sm6CdHg
_cell_length_a 5.2104
_cell_length_b 5.2104
_cell_length_c 18.0803
_cell_angle_alpha 90.00
_cell_angle_beta 90.00
_cell_angle_gamma 90.00
_symmetry_space_group_name_H-M 'I 4/m m m'
_symmetry_Int_Tables_number 139
_symmetry_space_group_name_Hall '-I 4 2'
loop_
_atom_site_label
_atom_site_type_symbol
_atom_site_fract_x
_atom_site_fract_y
_atom_site_fract_z
Sm1 Sm 0.0000 0.0000 0.2494
Sm2 Sm 0.0000 0.5000 0.1115
Cd1 Cd 0.0000 0.0000 0.0000
Hg1 Hg 0.0000 0.0000 0.5000
```

***

Record 2
DFT (GGA-PBE) results for a geometry-optimized KHf2TcW structure.

Summary:
The formation energy comes out at 2.587 eV per atom. The calculation puts the total energy at -0.4614 Ry/atom. As for the total magnetization: 0.00 μB/f.u. Its calculated volume is 98.8 Å³ per cell.

CIF file:
```
data_KHf2TcW
_cell_length_a 4.7929
_cell_length_b 4.7929
_cell_length_c 4.3012
_cell_angle_alpha 90.00
_cell_angle_beta 90.00
_cell_angle_gamma 90.00
_symmetry_space_group_name_H-M 'P 4/m m m'
_symmetry_Int_Tables_number 123
_symmetry_space_group_name_Hall '-P 4 2'
loop_
_atom_site_label
_atom_site_type_symbol
_atom_site_fract_x
_atom_site_fract_y
_atom_site_fract_z
K1 K 0.0000 0.0000 0.0000
Hf1 Hf 0.0000 0.5000 0.0000
Tc1 Tc 0.0000 0.0000 0.5000
W1 W 0.5000 0.5000 0.5000
```

***

Record 3
DFT (GGA-PBE) results for a geometry-optimized ErAl5Ag7 structure.

Summary:
The formation energy comes out at -0.186 eV per atom. The calculation puts the total energy at -0.2581 Ry/atom. As for the total magnetization: 0.00 μB/f.u. Its calculated volume is 463.7 Å³ per cell.

CIF file:
```
data_ErAl5Ag7
_cell_length_a 5.4228
_cell_length_b 9.3110
_cell_length_c 9.1828
_cell_angle_alpha 90.00
_cell_angle_beta 90.00
_cell_angle_gamma 90.00
_symmetry_space_group_name_H-M 'I m m 2'
_symmetry_Int_Tables_number 44
_symmetry_space_group_name_Hall 'I 2 -2'
loop_
_atom_site_label
_atom_site_type_symbol
_atom_site_fract_x
_atom_site_fract_y
_atom_site_fract_z
Er1 Er 0.0000 0.0000 0.0000
Al1 Al 0.0000 0.5000 0.2760
Al2 Al 0.2487 0.2542 0.7468
Ag1 Ag 0.0000 0.0000 0.3448
Ag2 Ag 0.0000 0.0000 0.6675
Ag3 Ag 0.0000 0.2959 0.4924
Ag4 Ag 0.0000 0.3425 0.0040
Ag5 Ag 0.0000 0.5000 0.7211
```

***

Record 4
DFT (GGA-PBE) results for a geometry-optimized YRe2F2 structure.

Summary:
The calculation puts the total energy at -0.5452 Ry/atom. Its formation energy from raw total energies is -0.40 eV per atom. As for the total magnetization: 0.00 μB/f.u. Its calculated volume is 169.9 Å³ per cell.

CIF file:
```
data_YRe2F2
_cell_length_a 3.9503
_cell_length_b 3.9503
_cell_length_c 10.8868
_cell_angle_alpha 90.00
_cell_angle_beta 90.00
_cell_angle_gamma 90.00
_symmetry_space_group_name_H-M 'I 4/m m m'
_symmetry_Int_Tables_number 139
_symmetry_space_group_name_Hall '-I 4 2'
loop_
_atom_site_label
_atom_site_type_symbol
_atom_site_fract_x
_atom_site_fract_y
_atom_site_fract_z
Y1 Y 0.0000 0.0000 0.0000
Re1 Re 0.0000 0.0000 0.3981
F1 F 0.0000 0.5000 0.2500
```

***

Record 5
DFT (GGA-PBE) results for a geometry-optimized Zr2HgSe structure.

Summary:
The calculation puts the total energy at -0.4187 Ry/atom. Its formation energy from raw total energies is -0.48 eV per atom. As for the total magnetization: 0.00 μB/f.u. Its calculated volume is 171.3 Å³ per cell.

CIF file:
```
data_Zr2HgSe
_cell_length_a 10.5420
_cell_length_b 3.3667
_cell_length_c 4.8525
_cell_angle_alpha 90.00
_cell_angle_beta 96.00
_cell_angle_gamma 90.00
_symmetry_space_group_name_H-M 'C 1 m 1'
_symmetry_Int_Tables_number 8
_symmetry_space_group_name_Hall 'C -2y'
loop_
_atom_site_label
_atom_site_type_symbol
_atom_site_fract_x
_atom_site_fract_y
_atom_site_fract_z
Zr1 Zr 0.0000 0.0000 0.0000
Zr2 Zr 0.2343 0.0000 0.5523
Hg1 Hg 0.4937 0.0000 0.4919
Se1 Se 0.2238 0.5000 0.0372
```

***

Record 6
DFT (GGA-PBE) results for a geometry-optimized PaSbH structure.

Summary:
The calculation puts the total energy at -0.4240 Ry/atom. As for the total magnetization: 0.82 μB/f.u. Its calculated volume is 117.5 Å³ per cell.

CIF file:
```
data_PaSbH
_cell_length_a 3.2494
_cell_length_b 3.2494
_cell_length_c 11.1288
_cell_angle_alpha 90.00
_cell_angle_beta 90.00
_cell_angle_gamma 90.00
_symmetry_space_group_name_H-M 'I 4 m m'
_symmetry_Int_Tables_number 107
_symmetry_space_group_name_Hall 'I 4 -2'
loop_
_atom_site_label
_atom_site_type_symbol
_atom_site_fract_x
_atom_site_fract_y
_atom_site_fract_z
Pa1 Pa 0.0000 0.0000 0.0000
Sb1 Sb 0.0000 0.0000 0.2896
H1 H 0.0000 0.0000 0.5620
```

***

Record 7
DFT (GGA-PBE) results for a geometry-optimized Sc2GaCoTe structure.

Summary:
The calculation puts the total energy at -0.3317 Ry/atom. Its formation energy from raw total energies is 0.67 eV per atom. As for the total magnetization: 1.76 μB/f.u. Its calculated volume is 134.5 Å³ per cell.

CIF file:
```
data_Sc2GaCoTe
_cell_length_a 5.0768
_cell_length_b 5.0768
_cell_length_c 5.2174
_cell_angle_alpha 90.00
_cell_angle_beta 90.00
_cell_angle_gamma 90.00
_symmetry_space_group_name_H-M 'P 4/m m m'
_symmetry_Int_Tables_number 123
_symmetry_space_group_name_Hall '-P 4 2'
loop_
_atom_site_label
_atom_site_type_symbol
_atom_site_fract_x
_atom_site_fract_y
_atom_site_fract_z
Sc1 Sc 0.0000 0.5000 0.0000
Ga1 Ga 0.0000 0.0000 0.0000
Co1 Co 0.5000 0.5000 0.5000
Te1 Te 0.0000 0.0000 0.5000
```

***

Record 8
DFT (GGA-PBE) results for a geometry-optimized MnFeSi structure.

Summary:
The calculation puts the total energy at -0.5834 Ry/atom. Its formation energy from raw total energies is -0.25 eV per atom. As for the total magnetization: 1.15 μB/f.u. Its calculated volume is 64.5 Å³ per cell.

CIF file:
```
data_MnFeSi
_cell_length_a 2.6940
_cell_length_b 2.6940
_cell_length_c 8.8910
_cell_angle_alpha 90.00
_cell_angle_beta 90.00
_cell_angle_gamma 90.00
_symmetry_space_group_name_H-M 'I 4 m m'
_symmetry_Int_Tables_number 107
_symmetry_space_group_name_Hall 'I 4 -2'
loop_
_atom_site_label
_atom_site_type_symbol
_atom_site_fract_x
_atom_site_fract_y
_atom_site_fract_z
Mn1 Mn 0.0000 0.0000 0.0000
Fe1 Fe 0.0000 0.0000 0.3224
Si1 Si 0.0000 0.0000 0.6672
```

***

Record 9
DFT (GGA-PBE) results for a geometry-optimized Li2TbZn2Ge2 structure.

Summary:
The formation energy comes out at -0.499 eV per atom. The calculation puts the total energy at -0.2492 Ry/atom. As for the total magnetization: 0.00 μB/f.u. Its calculated volume is 362.7 Å³ per cell.

CIF file:
```
data_Li2TbZn2Ge2
_cell_length_a 4.2291
_cell_length_b 4.2291
_cell_length_c 23.4169
_cell_angle_alpha 90.00
_cell_angle_beta 90.00
_cell_angle_gamma 120.00
_symmetry_space_group_name_H-M 'R -3 m'
_symmetry_Int_Tables_number 166
_symmetry_space_group_name_Hall '-R 3 2"'
loop_
_atom_site_label
_atom_site_type_symbol
_atom_site_fract_x
_atom_site_fract_y
_atom_site_fract_z
Li1 Li 0.0000 0.0000 0.1434
Tb1 Tb 0.0000 0.0000 0.0000
Zn1 Zn 0.0000 0.0000 0.4376
Ge1 Ge 0.0000 0.0000 0.2586
```

***

Record 10
DFT (GGA-PBE) results for a geometry-optimized MgPaH6Rh structure.

Summary:
The calculation puts the total energy at -0.3305 Ry/atom. As for the total magnetization: 0.00 μB/f.u. Its calculated volume is 78.1 Å³ per cell.

CIF file:
```
data_MgPaH6Rh
_cell_length_a 4.4669
_cell_length_b 4.4669
_cell_length_c 4.5175
_cell_angle_alpha 90.00
_cell_angle_beta 90.00
_cell_angle_gamma 120.00
_symmetry_space_group_name_H-M 'P -6 m 2'
_symmetry_Int_Tables_number 187
_symmetry_space_group_name_Hall 'P -6 2'
loop_
_atom_site_label
_atom_site_type_symbol
_atom_site_fract_x
_atom_site_fract_y
_atom_site_fract_z
Mg1 Mg 0.0000 0.0000 0.0000
Pa1 Pa 0.6667 0.3333 0.5000
H1 H 0.1774 0.3547 0.3036
Rh1 Rh 0.3333 0.6667 0.0000
```